(1)
Entry from the Alexandria database: a relaxed CaSm3In2 crystal (GGA-PBE).

Calculated values
E_form = -0.38 eV per atom

a = 5.4887 Å, b = 9.5580 Å, c = 6.8864 Å
α = 90.00°, β = 90.00°, γ = 90.00°
With the nearest neighbours (Å) after each atom.
Element x y z (fractional)
Ca (0.0000, 0.0014, 0.0000)  2 Ca 3.44, 6 In 3.61-3.65, 6 Sm 3.61-3.63
Ca (0.0000, 0.9986, 0.5000)  2 Ca 3.44, 6 In 3.61-3.65, 6 Sm 3.61-3.63
Sm (0.0000, 0.3336, 0.7479)  5 In 3.17-3.45
Sm (0.0000, 0.6664, 0.2479)  5 In 3.17-3.45
Sm (0.5000, 0.1667, 0.2513)  5 In 3.18-3.45
Sm (0.5000, 0.4988, 0.9992)  8 Sm 3.44-3.62, 6 In 3.60-3.63
Sm (0.5000, 0.5012, 0.4992)  8 Sm 3.44-3.62, 6 In 3.60-3.63
Sm (0.5000, 0.8333, 0.7513)  5 In 3.18-3.45
In (0.0000, 0.3345, 0.2490)  5 Sm 3.17-3.45
In (0.0000, 0.6655, 0.7490)  5 Sm 3.17-3.45
In (0.5000, 0.1671, 0.7502)  5 Sm 3.17-3.45
In (0.5000, 0.8329, 0.2502)  5 Sm 3.17-3.45

***

(2)
Entry from the Alexandria database: a relaxed CaSm3In12 crystal (GGA-PBE).

Calculated values
E_form = -0.42 eV per atom

a = 4.6966 Å, b = 4.6966 Å, c = 18.7867 Å
α = 90.00°, β = 90.00°, γ = 90.00°
With the nearest neighbours (Å) after each atom.
Element x y z (fractional)
Ca (0.0000, 0.0000, 0.0000)  12 In 3.32
Sm (0.0000, 0.0000, 0.2519)  12 In 3.30-3.34
Sm (0.0000, 0.0000, 0.5000)  12 In 3.31-3.32
Sm (0.0000, 0.0000, 0.7481)  12 In 3.30-3.34
In (0.0000, 0.5000, 0.1252)  8 In 3.32-3.33, 2 Ca 3.32, 2 Sm 3.34
In (0.0000, 0.5000, 0.3755)  4 Sm 3.30-3.31, 8 In 3.31-3.32
In (0.0000, 0.5000, 0.6245)  4 Sm 3.30-3.31, 8 In 3.31-3.32
In (0.0000, 0.5000, 0.8748)  8 In 3.32-3.33, 2 Ca 3.32, 2 Sm 3.34
In (0.5000, 0.0000, 0.1252)  8 In 3.32-3.33, 2 Ca 3.32, 2 Sm 3.34
In (0.5000, 0.0000, 0.3755)  4 Sm 3.30-3.31, 8 In 3.31-3.32
In (0.5000, 0.0000, 0.6245)  4 Sm 3.30-3.31, 8 In 3.31-3.32
In (0.5000, 0.0000, 0.8748)  8 In 3.32-3.33, 2 Ca 3.32, 2 Sm 3.34
In (0.5000, 0.5000, 0.0000)  4 Ca 3.32, 8 In 3.32
In (0.5000, 0.5000, 0.2506)  8 In 3.32-3.33, 4 Sm 3.32
In (0.5000, 0.5000, 0.5000)  8 In 3.31, 4 Sm 3.32
In (0.5000, 0.5000, 0.7494)  8 In 3.32-3.33, 4 Sm 3.32

***

(3)
Entry from the Alexandria database: a relaxed Ca7SmIn4 crystal (GGA-PBE).

Calculated values
E_form = -0.16 eV per atom

a = 7.9463 Å, b = 7.9463 Å, c = 11.4400 Å
α = 122.75°, β = 122.75°, γ = 42.46°
With the nearest neighbours (Å) after each atom.
Element x y z (fractional)
Ca (0.0000, 0.0000, 0.0000)  2 Sm 2.88, 4 In 3.09-3.11
Ca (0.1748, 0.1748, 0.6172)  4 In 3.17-3.42
Ca (0.2805, 0.2805, 0.1228)  4 In 3.34-3.47, 2 Ca 3.53-3.55
Ca (0.4264, 0.4264, 0.6298)  5 In 3.24-3.49, 1 Ca 3.55
Ca (0.5736, 0.5736, 0.3702)  5 In 3.24-3.49, 1 Ca 3.55
Ca (0.7195, 0.7195, 0.8772)  4 In 3.34-3.47, 2 Ca 3.53-3.55
Ca (0.8252, 0.8252, 0.3828)  4 In 3.17-3.42
Sm (0.5000, 0.5000, 0.0000)  2 Ca 2.88
In (0.0597, 0.0597, 0.7800)  1 In 3.08, 5 Ca 3.11-3.35
In (0.1844, 0.1844, 0.3255)  1 In 3.08, 6 Ca 3.09-3.42
In (0.8156, 0.8156, 0.6745)  1 In 3.08, 6 Ca 3.09-3.42
In (0.9403, 0.9403, 0.2200)  1 In 3.08, 5 Ca 3.11-3.35

***

(4)
Entry from the Alexandria database: a relaxed CaSm3In3 crystal (GGA-PBE).

Calculated values
E_form = -0.34 eV per atom

a = 7.6445 Å, b = 7.6445 Å, c = 7.3903 Å
α = 90.00°, β = 90.00°, γ = 90.71°
With the nearest neighbours (Å) after each atom.
Element x y z (fractional)
Ca (0.2183, 0.2183, 0.0000)  6 In 3.31-3.62
Ca (0.7817, 0.7817, 0.0000)  6 In 3.31-3.62
Sm (0.2295, 0.7705, 0.5000)  6 In 3.27-3.40, 2 Sm 3.59
Sm (0.2406, 0.2406, 0.5000)  6 In 3.26-3.29, 2 Sm 3.59
Sm (0.2699, 0.7301, 0.0000)  6 In 3.20-3.27
Sm (0.7301, 0.2699, 0.0000)  6 In 3.20-3.27
Sm (0.7594, 0.7594, 0.5000)  6 In 3.26-3.29, 2 Sm 3.59
Sm (0.7705, 0.2295, 0.5000)  6 In 3.27-3.40, 2 Sm 3.59
In (0.0000, 0.5000, 0.2500)  6 Sm 3.27-3.29, 2 Ca 3.31
In (0.0000, 0.5000, 0.7500)  6 Sm 3.27-3.29, 2 Ca 3.31
In (0.5000, 0.0000, 0.2500)  6 Sm 3.27-3.29, 2 Ca 3.31
In (0.5000, 0.0000, 0.7500)  6 Sm 3.27-3.29, 2 Ca 3.31
In (0.5000, 0.5000, 0.2698)  6 Sm 3.20-3.40, 1 In 3.40
In (0.5000, 0.5000, 0.7302)  6 Sm 3.20-3.40, 1 In 3.40

***

(5)
Entry from the Alexandria database: a relaxed CaSm2In4 crystal (GGA-PBE).

Calculated values
E_form = -0.30 eV per atom

a = 8.3657 Å, b = 8.3657 Å, c = 8.3657 Å
α = 143.08°, β = 143.08°, γ = 53.21°
With the nearest neighbours (Å) after each atom.
Element x y z (fractional)
Ca (0.0000, 0.0000, 0.0000)  8 In 3.14
Sm (0.2514, 0.2514, 0.0000)  8 In 3.33-3.36
Sm (0.7486, 0.7486, 0.0000)  8 In 3.33-3.36
In (0.1133, 0.6133, 0.5000)  2 Ca 3.14, 4 Sm 3.33-3.36, 1 In 3.39
In (0.3867, 0.8867, 0.5000)  2 Ca 3.14, 4 Sm 3.33-3.36, 1 In 3.39
In (0.6133, 0.1133, 0.5000)  2 Ca 3.14, 4 Sm 3.33-3.36, 1 In 3.39
In (0.8867, 0.3867, 0.5000)  2 Ca 3.14, 4 Sm 3.33-3.36, 1 In 3.39

***

(6)
Entry from the Alexandria database: a relaxed CaSm5In6 crystal (GGA-PBE).

Calculated values
E_form = -0.48 eV per atom

a = 9.3900 Å, b = 9.3900 Å, c = 5.4197 Å
α = 106.57°, β = 106.57°, γ = 48.11°
With the nearest neighbours (Å) after each atom.
Element x y z (fractional)
Ca (0.0000, 0.0000, 0.0000)  8 In 3.32-3.33
Sm (0.1635, 0.1635, 0.6635)  8 In 3.29-3.36
Sm (0.3319, 0.3319, 0.3318)  8 In 3.31-3.33
Sm (0.5000, 0.5000, 0.0000)  8 In 3.31
Sm (0.6681, 0.6681, 0.6682)  8 In 3.31-3.33
Sm (0.8365, 0.8365, 0.3365)  8 In 3.29-3.36
In (0.0845, 0.5826, 0.8334)  7 Sm 3.31-3.36, 1 Ca 3.32
In (0.2521, 0.7479, 0.5000)  6 Sm 3.29-3.33, 2 Ca 3.33
In (0.4174, 0.9155, 0.1666)  7 Sm 3.31-3.36, 1 Ca 3.32
In (0.5826, 0.0845, 0.8334)  7 Sm 3.31-3.36, 1 Ca 3.32
In (0.7479, 0.2521, 0.5000)  6 Sm 3.29-3.33, 2 Ca 3.33
In (0.9155, 0.4174, 0.1666)  7 Sm 3.31-3.36, 1 Ca 3.32